# 1
# Cd2GaAu2 | the Alexandria database | PBE | optimized geometry
# Volume: 210.7 Å³ per cell
# Space group: P4/mbm
# Energy relative to the elements: -0.061 eV/atom
# Energy above the most stable polymorph in this dataset: 0.100 eV/atom
# Calculated total energy: -2.343 eV per atom
data_Cd2GaAu2
_space_group_name_H-M_alt 'P 1'
_space_group_IT_number 1
_cell_length_a 8.447
_cell_length_b 8.447
_cell_length_c 2.952
_cell_angle_alpha 90.00
_cell_angle_beta 90.00
_cell_angle_gamma 90.00
loop_
_space_group_symop_operation_xyz
'x,y,z'
loop_
_atom_site_label
_atom_site_type_symbol
_atom_site_fract_x
_atom_site_fract_y
_atom_site_fract_z
Cd1 Cd 0.130 0.370 0.000
Cd2 Cd 0.370 0.870 0.000
Cd3 Cd 0.630 0.130 0.000
Cd4 Cd 0.870 0.630 0.000
Ga1 Ga 0.000 0.000 0.000
Ga2 Ga 0.500 0.500 0.000
Au1 Au 0.168 0.668 0.500
Au2 Au 0.332 0.168 0.500
Au3 Au 0.668 0.832 0.500
Au4 Au 0.832 0.332 0.500

***

# 2
# SnHg3Pb3 | the Alexandria database | PBE | optimized geometry
# Volume: 561.4 Å³ per cell
# Space group: Pm-3n
# Energy relative to the elements: 0.526 eV/atom
# Energy above the most stable polymorph in this dataset: 0.485 eV/atom
# Calculated total energy: -1.764 eV per atom
data_SnHg3Pb3
_space_group_name_H-M_alt 'P 1'
_space_group_IT_number 1
_cell_length_a 8.250
_cell_length_b 8.250
_cell_length_c 8.250
_cell_angle_alpha 90.00
_cell_angle_beta 90.00
_cell_angle_gamma 90.00
loop_
_space_group_symop_operation_xyz
'x,y,z'
loop_
_atom_site_label
_atom_site_type_symbol
_atom_site_fract_x
_atom_site_fract_y
_atom_site_fract_z
Sn1 Sn 0.000 0.000 0.000
Sn2 Sn 0.500 0.500 0.500
Hg1 Hg 0.000 0.250 0.500
Hg2 Hg 0.000 0.750 0.500
Hg3 Hg 0.250 0.500 0.000
Hg4 Hg 0.500 0.000 0.250
Hg5 Hg 0.500 0.000 0.750
Hg6 Hg 0.750 0.500 0.000
Pb1 Pb 0.000 0.500 0.250
Pb2 Pb 0.000 0.500 0.750
Pb3 Pb 0.250 0.000 0.500
Pb4 Pb 0.500 0.250 0.000
Pb5 Pb 0.500 0.750 0.000
Pb6 Pb 0.750 0.000 0.500

***

# 3
# CaPr12Sm3 | the Alexandria database | PBE | optimized geometry
# Volume: 576.1 Å³ per cell
# Space group: P4/mmm
# Energy relative to the elements: 0.023 eV/atom
# Calculated total energy: -4.572 eV per atom
data_CaPr12Sm3
_space_group_name_H-M_alt 'P 1'
_space_group_IT_number 1
_cell_length_a 5.245
_cell_length_b 5.245
_cell_length_c 20.940
_cell_angle_alpha 90.00
_cell_angle_beta 90.00
_cell_angle_gamma 90.00
loop_
_space_group_symop_operation_xyz
'x,y,z'
loop_
_atom_site_label
_atom_site_type_symbol
_atom_site_fract_x
_atom_site_fract_y
_atom_site_fract_z
Ca1 Ca 0.000 0.000 0.000
Pr1 Pr 0.000 0.500 0.129
Pr2 Pr 0.000 0.500 0.376
Pr3 Pr 0.000 0.500 0.624
Pr4 Pr 0.000 0.500 0.871
Pr5 Pr 0.500 0.000 0.129
Pr6 Pr 0.500 0.000 0.376
Pr7 Pr 0.500 0.000 0.624
Pr8 Pr 0.500 0.000 0.871
Pr9 Pr 0.500 0.500 0.000
Pr10 Pr 0.500 0.500 0.250
Pr11 Pr 0.500 0.500 0.500
Pr12 Pr 0.500 0.500 0.750
Sm1 Sm 0.000 0.000 0.251
Sm2 Sm 0.000 0.000 0.500
Sm3 Sm 0.000 0.000 0.749

***

# 4
# Ti6ReTc5 | the Alexandria database | PBE | optimized geometry
# Volume: 179.9 Å³ per cell
# Space group: Immm
# Energy relative to the elements: -0.473 eV/atom
# Calculated total energy: -9.777 eV per atom
data_Ti6ReTc5
_space_group_name_H-M_alt 'P 1'
_space_group_IT_number 1
_cell_length_a 7.610
_cell_length_b 7.610
_cell_length_c 7.610
_cell_angle_alpha 146.38
_cell_angle_beta 131.91
_cell_angle_gamma 59.96
loop_
_space_group_symop_operation_xyz
'x,y,z'
loop_
_atom_site_label
_atom_site_type_symbol
_atom_site_fract_x
_atom_site_fract_y
_atom_site_fract_z
Ti1 Ti 0.082 0.333 0.750
Ti2 Ti 0.249 0.000 0.249
Ti3 Ti 0.417 0.667 0.750
Ti4 Ti 0.583 0.333 0.250
Ti5 Ti 0.751 0.000 0.751
Ti6 Ti 0.918 0.667 0.250
Re1 Re 0.500 0.500 0.000
Tc1 Tc 0.000 0.500 0.500
Tc2 Tc 0.167 0.167 0.000
Tc3 Tc 0.334 0.834 0.500
Tc4 Tc 0.666 0.166 0.500
Tc5 Tc 0.833 0.833 0.000

***

# 5
# DyCu4Ru | the Alexandria database | PBE | optimized geometry
# Volume: 87.0 Å³ per cell
# Space group: F-43m
# Energy relative to the elements: -0.079 eV/atom
# Calculated total energy: -5.123 eV per atom
data_DyCu4Ru
_space_group_name_H-M_alt 'P 1'
_space_group_IT_number 1
_cell_length_a 4.973
_cell_length_b 4.973
_cell_length_c 4.973
_cell_angle_alpha 60.00
_cell_angle_beta 60.00
_cell_angle_gamma 60.00
loop_
_space_group_symop_operation_xyz
'x,y,z'
loop_
_atom_site_label
_atom_site_type_symbol
_atom_site_fract_x
_atom_site_fract_y
_atom_site_fract_z
Dy1 Dy 0.000 0.000 0.000
Cu1 Cu 0.128 0.624 0.624
Cu2 Cu 0.624 0.128 0.624
Cu3 Cu 0.624 0.624 0.128
Cu4 Cu 0.624 0.624 0.624
Ru1 Ru 0.250 0.250 0.250

***

# 6
# RbAc2GeO5 | the Alexandria database | PBE | optimized geometry
# Volume: 318.4 Å³ per cell
# Space group: P4/mbm
# Uncorrected formation energy: -2.315 eV/atom
# Calculated total energy: -6.603 eV per atom
data_RbAc2GeO5
_space_group_name_H-M_alt 'P 1'
_space_group_IT_number 1
_cell_length_a 7.257
_cell_length_b 7.257
_cell_length_c 6.045
_cell_angle_alpha 90.00
_cell_angle_beta 90.00
_cell_angle_gamma 90.00
loop_
_space_group_symop_operation_xyz
'x,y,z'
loop_
_atom_site_label
_atom_site_type_symbol
_atom_site_fract_x
_atom_site_fract_y
_atom_site_fract_z
Rb1 Rb 0.000 0.000 0.000
Rb2 Rb 0.500 0.500 0.000
Ac1 Ac 0.182 0.318 0.500
Ac2 Ac 0.318 0.818 0.500
Ac3 Ac 0.682 0.182 0.500
Ac4 Ac 0.818 0.682 0.500
Ge1 Ge 0.000 0.500 0.000
Ge2 Ge 0.500 0.000 0.000
O1 O 0.000 0.000 0.500
O2 O 0.129 0.629 0.241
O3 O 0.129 0.629 0.759
O4 O 0.371 0.129 0.241
O5 O 0.371 0.129 0.759
O6 O 0.500 0.500 0.500
O7 O 0.629 0.871 0.241
O8 O 0.629 0.871 0.759
O9 O 0.871 0.371 0.241
O10 O 0.871 0.371 0.759

***

# 7
# CdAsCl2 | the Alexandria database | PBE | optimized geometry
# Volume: 88.0 Å³ per cell
# Space group: Pmmm
# Uncorrected formation energy: -0.097 eV/atom
# Energy above the most stable polymorph in this dataset: 0.306 eV/atom
# Calculated total energy: -2.411 eV per atom
data_CdAsCl2
_space_group_name_H-M_alt 'P 1'
_space_group_IT_number 1
_cell_length_a 3.344
_cell_length_b 4.410
_cell_length_c 5.965
_cell_angle_alpha 90.00
_cell_angle_beta 90.00
_cell_angle_gamma 90.00
loop_
_space_group_symop_operation_xyz
'x,y,z'
loop_
_atom_site_label
_atom_site_type_symbol
_atom_site_fract_x
_atom_site_fract_y
_atom_site_fract_z
Cd1 Cd 0.000 0.000 0.000
As1 As 0.500 0.000 0.500
Cl1 Cl 0.000 0.500 0.500
Cl2 Cl 0.500 0.500 0.000

***

# 8
# YCrNi2 | the Alexandria database | PBE | optimized geometry
# Volume: 61.0 Å³ per cell
# Space group: Pmm2
# Energy relative to the elements: 0.202 eV/atom
# Energy above the most stable polymorph in this dataset: 0.322 eV/atom
# Calculated total energy: -6.711 eV per atom
data_YCrNi2
_space_group_name_H-M_alt 'P 1'
_space_group_IT_number 1
_cell_length_a 3.074
_cell_length_b 3.151
_cell_length_c 6.300
_cell_angle_alpha 90.00
_cell_angle_beta 90.00
_cell_angle_gamma 90.00
loop_
_space_group_symop_operation_xyz
'x,y,z'
loop_
_atom_site_label
_atom_site_type_symbol
_atom_site_fract_x
_atom_site_fract_y
_atom_site_fract_z
Y1 Y 0.000 0.000 0.000
Cr1 Cr 0.500 0.500 0.331
Ni1 Ni 0.000 0.000 0.503
Ni2 Ni 0.500 0.500 0.704

***

So what do the calculations give for magnetization? Going down the list: 0.000, 1.562, 0.000, 0.000, 0.000, 1.880, 0.000, 0.577 Bohr magnetons per cell.